(1)
This record from Alexandria describes an optimized crystal structure of CoRh. The functional is GGA-PBEsol.

```
data_CoRh
_symmetry_space_group_name_H-M 'P -6 m 2'
_symmetry_Int_Tables_number 187
_symmetry_space_group_name_Hall 'P -6 2'
_cell_length_a 2.6151
_cell_length_b 2.6151
_cell_length_c 4.1248
_cell_angle_alpha 90.00
_cell_angle_beta 90.00
_cell_angle_gamma 120.00
loop_
_atom_site_label
_atom_site_fract_x
_atom_site_fract_y
_atom_site_fract_z
Co1 0.0000 0.0000 0.0000
Rh1 0.6667 0.3333 0.5000
```

---

(2)
This record from Alexandria describes an optimized crystal structure of AgHgPb2Au. The functional is GGA-PBEsol.

```
data_AgHgPb2Au
_symmetry_space_group_name_H-M 'P 4/m m m'
_symmetry_Int_Tables_number 123
_symmetry_space_group_name_Hall '-P 4 2'
_cell_length_a 5.3247
_cell_length_b 5.3247
_cell_length_c 5.0831
_cell_angle_alpha 90.00
_cell_angle_beta 90.00
_cell_angle_gamma 90.00
loop_
_atom_site_label
_atom_site_fract_x
_atom_site_fract_y
_atom_site_fract_z
Ag1 0.0000 0.0000 0.0000
Hg1 0.5000 0.5000 0.5000
Pb1 0.0000 0.5000 0.0000
Au1 0.0000 0.0000 0.5000
```

---

(3)
This record from Alexandria describes an optimized crystal structure of SrMg3. The functional is GGA-PBEsol.

```
data_SrMg3
_symmetry_space_group_name_H-M 'F m -3 m'
_symmetry_Int_Tables_number 225
_symmetry_space_group_name_Hall '-F 4 2 3'
_cell_length_a 7.6126
_cell_length_b 7.6126
_cell_length_c 7.6126
_cell_angle_alpha 90.00
_cell_angle_beta 90.00
_cell_angle_gamma 90.00
loop_
_atom_site_label
_atom_site_fract_x
_atom_site_fract_y
_atom_site_fract_z
Sr1 0.0000 0.0000 0.0000
Mg1 0.0000 0.0000 0.5000
Mg2 0.2500 0.2500 0.2500
```

---

Number 1: total DFT energy (no corrections) -15.7 eV/cell. Number 2: total DFT energy (no corrections) -13.6 eV/cell. Number 3: total DFT energy (no corrections) -28.5 eV/cell.